First-principles (meta-GGA SCAN) data for a PBEsol-optimized structure of TaPtS2N, as listed in the Alexandria database.

Structure (POSCAR):
```
TaPtS2N
1.0
4.8082 0.0000 0.0000
0.0000 4.8082 0.0000
0.0000 0.0000 3.5847
Ta Pt S N
1 1 2 1
Direct
0.0000 0.0000 0.0000
0.5000 0.5000 0.5000
0.0000 0.5000 0.5000
0.5000 0.0000 0.5000
0.5000 0.5000 0.0000
```

Computed properties:
The energy relative to the elements, uncorrected is 4.25 eV/f.u.

First-principles (meta-GGA SCAN) data for a PBEsol-optimized structure of Sb3PtN, as listed in the Alexandria database.

Structure (POSCAR):
```
Sb3PtN
1.0
4.5876 0.0000 0.0000
0.0000 4.5876 0.0000
0.0000 0.0000 4.5876
Sb Pt N
3 1 1
Direct
0.0000 0.0000 0.5000
0.0000 0.5000 0.0000
0.5000 0.0000 0.0000
0.5000 0.5000 0.5000
0.0000 0.0000 0.0000
```

Computed properties:
The energy relative to the elements, uncorrected is 3.34 eV/f.u.

First-principles (meta-GGA SCAN) data for a PBEsol-optimized structure of SbPtSeN2, as listed in the Alexandria database.

Structure (POSCAR):
```
SbPtSeN2
1.0
3.9188 0.0000 0.0000
0.0000 3.9188 0.0000
0.0000 0.0000 5.2393
Sb Pt Se N
1 1 1 2
Direct
0.0000 0.0000 0.0000
0.5000 0.5000 0.5000
0.5000 0.5000 0.0000
0.0000 0.5000 0.5000
0.5000 0.0000 0.5000
```

Computed properties:
The energy relative to the elements, uncorrected is 6.05 eV/f.u.

First-principles (meta-GGA SCAN) data for a PBEsol-optimized structure of Sc2PtN2, as listed in the Alexandria database.

Structure (POSCAR):
```
Sc2PtN2
1.0
-2.1590 2.1590 4.1649
2.1590 -2.1590 4.1649
2.1590 2.1590 -4.1649
Sc Pt N
2 1 2
Direct
0.2500 0.7500 0.5000
0.7500 0.2500 0.5000
0.0000 0.0000 0.0000
0.2459 0.2459 0.0000
0.7541 0.7541 0.0000
```

Computed properties:
The energy relative to the elements, uncorrected is -6.80 eV/f.u.

First-principles (meta-GGA SCAN) data for a PBEsol-optimized structure of ScTe2PtN, as listed in the Alexandria database.

Structure (POSCAR):
```
ScTe2PtN
1.0
5.4933 0.0000 0.0000
0.0000 5.4933 0.0000
0.0000 0.0000 3.6788
Sc Te Pt N
1 2 1 1
Direct
0.0000 0.0000 0.0000
0.0000 0.5000 0.0000
0.5000 0.0000 0.0000
0.5000 0.5000 0.5000
0.0000 0.0000 0.5000
```

Computed properties:
Its polymorph energy (0 for the lowest one) is 554 meV per atom. The energy relative to the elements, uncorrected is 2.63 eV/f.u.

First-principles (meta-GGA SCAN) data for a PBEsol-optimized structure of ScTe2PtN, as listed in the Alexandria database.

Structure (POSCAR):
```
ScTe2PtN
1.0
5.4729 0.0000 0.0000
0.0000 5.4729 0.0000
0.0000 0.0000 3.6835
Sc Te Pt N
1 2 1 1
Direct
0.0000 0.0000 0.0000
0.0000 0.5000 0.5000
0.5000 0.0000 0.5000
0.5000 0.5000 0.5000
0.5000 0.5000 0.0000
```

Computed properties:
Its polymorph energy (0 for the lowest one) is 0 meV per atom. The energy relative to the elements, uncorrected is -0.14 eV/f.u.